Compound: La3ZnN
Source: the Alexandria database
Functional: GGA-PBE
Structure: optimized geometry

Cell: 4.472 4.472 17.399 Å, 90.00 90.00 120.00°
Fractional positions:
La1 0.000 0.000 0.250
La2 0.000 0.000 0.750
La3 0.333 0.667 0.068
La4 0.333 0.667 0.432
La5 0.667 0.333 0.568
La6 0.667 0.333 0.932
Zn1 0.333 0.667 0.250
Zn2 0.667 0.333 0.750
N1 0.000 0.000 0.000
N2 0.000 0.000 0.500

Computed properties:
The calculation puts the uncorrected formation energy at 0.079 eV per atom. The calculation puts the energy above the most stable polymorph in this dataset at 0.775 eV/atom. Its density is 5.5 g cm⁻³.

***

Compound: Cs3ZnO2
Source: the Alexandria database
Functional: GGA-PBE
Structure: optimized geometry

Cell: 12.212 12.212 12.212 Å, 150.58 50.36 140.08°
Fractional positions:
Cs1 0.104 0.750 0.354
Cs2 0.250 0.250 0.000
Cs3 0.396 0.750 0.646
Cs4 0.604 0.250 0.354
Cs5 0.750 0.750 0.000
Cs6 0.896 0.250 0.646
Zn1 0.000 0.500 0.500
Zn2 0.500 0.000 0.500
O1 0.063 0.676 0.739
O2 0.437 0.176 0.613
O3 0.563 0.824 0.387
O4 0.937 0.324 0.261

Computed properties:
The calculation puts the uncorrected formation energy at -1.018 eV per atom. The calculation puts the energy above the most stable polymorph in this dataset at 0.000 eV/atom. Its density is 2.9 g cm⁻³.

***

Compound: Tm2Al3Co
Source: the Alexandria database
Functional: GGA-PBE
Structure: optimized geometry

Cell: 5.320 5.320 5.320 Å, 61.26 61.26 61.26°
Fractional positions:
Tm1 0.126 0.126 0.126
Tm2 0.874 0.874 0.874
Al1 0.000 0.500 0.500
Al2 0.500 0.000 0.500
Al3 0.500 0.500 0.000
Co1 0.500 0.500 0.500

Computed properties:
Its density is 7.2 g cm⁻³. The energy of formation is -0.469 eV per atom.

***

> Which formula does entry 3 have?

Tm2Al3Co